A plane-wave DFT calculation with PBE was carried out for crystalline Al2PbW at its relaxed geometry.

## Properties
energy relative to the lowest polymorph listed for this composition = 0.170 eV per atom
formation energy = 1.85 eV per formula unit
V = 20.12 Å³ per atom
crystal system = trigonal
DOS at the Fermi energy = 10.11 states/eV/cell
total magnetic moment = 0.0 Bohr magnetons per cell

a b c (Å): 2.9847 2.9847 31.3004
angles (deg): 90.00 90.00 120.00
Space group R3m (No. 160, hexagonal axes)
Inequivalent atoms, fractional coordinates:
Al: 0.0000 0.0000 0.0000 [3 per cell]
Al: 0.0000 0.0000 0.2599 [3 per cell]
Pb: 0.0000 0.0000 0.4867 [3 per cell]
W: 0.0000 0.0000 0.7355 [3 per cell]

---

A plane-wave DFT calculation with PBE was carried out for crystalline Al2PbW at its relaxed geometry.

## Properties
energy relative to the lowest polymorph listed for this composition = 0.000 eV per atom
formation energy = 1.17 eV per formula unit
V = 20.03 Å³ per atom
crystal system = monoclinic
DOS at the Fermi energy = 1.85 states/eV/cell
total magnetic moment = 0.0 Bohr magnetons per cell

a b c (Å): 3.128 3.423 7.528
angles (deg): 90.00 96.16 90.00
Space group P2/m (No. 10)
Inequivalent atoms, fractional coordinates:
Al: 0.044 0.000 0.179 [2 per cell]
Pb: 0.500 0.500 0.500 [1 per cell]
W: 0.500 0.500 0.000 [1 per cell]

---

A plane-wave DFT calculation with PBE was carried out for crystalline AlPb2W at its relaxed geometry.

## Properties
energy relative to the lowest polymorph listed for this composition = 0.005 eV per atom
formation energy = 1.84 eV per formula unit
V = 23.59 Å³ per atom
crystal system = monoclinic
DOS at the Fermi energy = 1.71 states/eV/cell
total magnetic moment = 0.0 Bohr magnetons per cell

a b c (Å): 3.077 3.469 8.863
angles (deg): 90.00 94.12 90.00
Space group Pm (No. 6)
Inequivalent atoms, fractional coordinates:
Al: 0.000 0.000 0.000 [1 per cell]
Pb: 0.597 0.500 0.248 [1 per cell]
Pb: 0.921 0.000 0.616 [1 per cell]
W: 0.470 0.500 0.853 [1 per cell]

---

A plane-wave DFT calculation with PBE was carried out for crystalline Al2PbW at its relaxed geometry.

## Properties
energy relative to the lowest polymorph listed for this composition = 0.232 eV per atom
formation energy = 2.10 eV per formula unit
V = 18.71 Å³ per atom
crystal system = monoclinic
DOS at the Fermi energy = 5.02 states/eV/cell
total magnetic moment = 0.0 Bohr magnetons per cell

a b c (Å): 9.844 2.955 5.201
angles (deg): 90.00 98.31 90.00
Space group C2/m (No. 12)
Inequivalent atoms, fractional coordinates:
Al: 0.235 0.000 0.214 [4 per cell]
Pb: 0.000 0.000 0.500 [2 per cell]
W: 0.000 0.500 0.000 [2 per cell]

---

A plane-wave DFT calculation with PBE was carried out for crystalline AlPb2W at its relaxed geometry.

## Properties
energy relative to the lowest polymorph listed for this composition = 0.604 eV per atom
formation energy = 4.24 eV per formula unit
V = 22.37 Å³ per atom
crystal system = cubic
DOS at the Fermi energy = 11.21 states/eV/cell
total magnetic moment = 3.9 Bohr magnetons per cell

a b c (Å): 7.100 7.100 7.100
angles (deg): 90.00 90.00 90.00
Space group Fm-3m (No. 225)
Inequivalent atoms, fractional coordinates:
Al: 0.000 0.000 0.000 [4 per cell]
Pb: 0.250 0.250 0.250 [8 per cell]
W: 0.000 0.000 0.500 [4 per cell]

---

A plane-wave DFT calculation with PBE was carried out for crystalline Al2PbW at its relaxed geometry.

## Properties
energy relative to the lowest polymorph listed for this composition = 0.005 eV per atom
formation energy = 1.19 eV per formula unit
V = 19.96 Å³ per atom
crystal system = orthorhombic
DOS at the Fermi energy = 1.84 states/eV/cell
total magnetic moment = 0.0 Bohr magnetons per cell

a b c (Å): 3.129 3.429 7.444
angles (deg): 90.00 90.00 90.00
Space group Pmmm (No. 47)
Inequivalent atoms, fractional coordinates:
Al: 0.000 0.000 0.179 [2 per cell]
Pb: 0.500 0.500 0.500 [1 per cell]
W: 0.500 0.500 0.000 [1 per cell]

---

A plane-wave DFT calculation with PBE was carried out for crystalline AlPb2W at its relaxed geometry.

## Properties
energy relative to the lowest polymorph listed for this composition = 0.455 eV per atom
formation energy = 3.64 eV per formula unit
V = 22.34 Å³ per atom
crystal system = orthorhombic
DOS at the Fermi energy = 3.15 states/eV/cell
total magnetic moment = 0.0 Bohr magnetons per cell

a b c (Å): 3.117 4.676 6.133
angles (deg): 90.00 90.00 90.00
Space group Pmmm (No. 47)
Inequivalent atoms, fractional coordinates:
Al: 0.000 0.000 0.000 [1 per cell]
Pb: 0.500 0.500 0.256 [2 per cell]
W: 0.000 0.000 0.500 [1 per cell]

---

A plane-wave DFT calculation with PBE was carried out for crystalline Al2PbW at its relaxed geometry.

## Properties
energy relative to the lowest polymorph listed for this composition = 0.564 eV per atom
formation energy = 3.43 eV per formula unit
V = 18.96 Å³ per atom
crystal system = cubic
DOS at the Fermi energy = 22.49 states/eV/cell
total magnetic moment = 0.2 Bohr magnetons per cell

a b c (Å): 6.719 6.719 6.719
angles (deg): 90.00 90.00 90.00
Space group F-43m (No. 216)
Inequivalent atoms, fractional coordinates:
Al: 0.000 0.000 0.000 [4 per cell]
Al: 0.250 0.250 0.250 [4 per cell]
Pb: 0.000 0.000 0.500 [4 per cell]
W: 0.250 0.250 0.750 [4 per cell]